1.
CrGeTeI2 | GGA-PBEsol | optimized geometry

Values from the calculation:
Crystal system: tetragonal
Electronic total energy, eV/cell: -20.34

CIF file:
```
data_CrGeTeI2
_chemical_formula_sum 'Cr1 Ge1 Te1 I2'
_symmetry_space_group_name_H-M 'P 4/m m m'
_symmetry_Int_Tables_number 123
_symmetry_space_group_name_Hall '-P 4 2'
_cell_length_a 5.272
_cell_length_b 5.272
_cell_length_c 5.345
_cell_angle_alpha 90.00
_cell_angle_beta 90.00
_cell_angle_gamma 90.00
loop_
_atom_site_label
_atom_site_type_symbol
_atom_site_fract_x
_atom_site_fract_y
_atom_site_fract_z
_atom_site_occupancy
Cr1 Cr 0.000 0.000 0.000 1
Ge1 Ge 0.500 0.500 0.500 1
Te1 Te 0.000 0.000 0.500 1
I1 I 0.000 0.500 0.000 1
```

***

2.
BeTcPt2 | GGA-PBEsol | optimized geometry

Values from the calculation:
Crystal system: tetragonal
E_form, eV/atom: -0.133
Electronic total energy, eV/cell: -59.45

CIF file:
```
data_BeTcPt2
_chemical_formula_sum 'Be2 Tc2 Pt4'
_symmetry_space_group_name_H-M 'I 4/m m m'
_symmetry_Int_Tables_number 139
_symmetry_space_group_name_Hall '-I 4 2'
_cell_length_a 3.737
_cell_length_b 3.737
_cell_length_c 7.647
_cell_angle_alpha 90.00
_cell_angle_beta 90.00
_cell_angle_gamma 90.00
loop_
_atom_site_label
_atom_site_type_symbol
_atom_site_fract_x
_atom_site_fract_y
_atom_site_fract_z
_atom_site_occupancy
Be1 Be 0.000 0.000 0.000 1
Tc1 Tc 0.000 0.000 0.500 1
Pt1 Pt 0.000 0.500 0.250 1
```

***

3.
TaCdBF10 | GGA-PBEsol | optimized geometry

Values from the calculation:
Crystal system: monoclinic
Electronic total energy, eV/cell: -310.89

CIF file:
```
data_TaCdBF10
_chemical_formula_sum 'Ta4 Cd4 B4 F40'
_symmetry_space_group_name_H-M 'P 1 21/c 1'
_symmetry_Int_Tables_number 14
_cell_length_a 8.239
_cell_length_b 9.383
_cell_length_c 9.015
_cell_angle_alpha 90.00
_cell_angle_beta 94.48
_cell_angle_gamma 90.00
loop_
_symmetry_equiv_pos_as_xyz
'x,y,z'
'-x,-y,-z'
'-x,y+1/2,-z+1/2'
'x,-y+1/2,z+1/2'
loop_
_atom_site_label
_atom_site_type_symbol
_atom_site_fract_x
_atom_site_fract_y
_atom_site_fract_z
_atom_site_occupancy
Ta1 Ta 0.168 0.070 0.264 1
Cd1 Cd 0.324 0.023 0.712 1
B1 B 0.428 0.726 0.494 1
F1 F 0.063 0.573 0.220 1
F2 F 0.147 0.080 0.057 1
F3 F 0.165 0.629 0.768 1
F4 F 0.181 0.222 0.765 1
F5 F 0.195 0.078 0.481 1
F6 F 0.326 0.631 0.409 1
F7 F 0.330 0.685 0.075 1
F8 F 0.403 0.063 0.270 1
F9 F 0.463 0.147 0.911 1
F10 F 0.483 0.190 0.602 1
```

***

4.
HfFeTe2N | GGA-PBEsol | optimized geometry

Values from the calculation:
Crystal system: tetragonal
Electronic total energy, eV/cell: -34.16

CIF file:
```
data_HfFeTe2N
_chemical_formula_sum 'Hf1 Fe1 Te2 N1'
_symmetry_space_group_name_H-M 'P 4/m m m'
_symmetry_Int_Tables_number 123
_symmetry_space_group_name_Hall '-P 4 2'
_cell_length_a 4.886
_cell_length_b 4.886
_cell_length_c 3.609
_cell_angle_alpha 90.00
_cell_angle_beta 90.00
_cell_angle_gamma 90.00
loop_
_atom_site_label
_atom_site_type_symbol
_atom_site_fract_x
_atom_site_fract_y
_atom_site_fract_z
_atom_site_occupancy
Hf1 Hf 0.000 0.000 0.000 1
Fe1 Fe 0.500 0.500 0.000 1
Te1 Te 0.000 0.500 0.500 1
N1 N 0.500 0.500 0.500 1
```

***

5.
Fe2PbAu | GGA-PBEsol | optimized geometry

Values from the calculation:
Crystal system: cubic
E_form, eV/atom: 0.533
Electronic total energy, eV/cell: -94.86

CIF file:
```
data_Fe2PbAu
_chemical_formula_sum 'Fe8 Pb4 Au4'
_symmetry_space_group_name_H-M 'F -4 3 m'
_symmetry_Int_Tables_number 216
_symmetry_space_group_name_Hall 'F -4 2 3'
_cell_length_a 6.400
_cell_length_b 6.400
_cell_length_c 6.400
_cell_angle_alpha 90.00
_cell_angle_beta 90.00
_cell_angle_gamma 90.00
loop_
_atom_site_label
_atom_site_type_symbol
_atom_site_fract_x
_atom_site_fract_y
_atom_site_fract_z
_atom_site_occupancy
Fe1 Fe 0.000 0.000 0.000 1
Fe2 Fe 0.250 0.250 0.250 1
Pb1 Pb 0.000 0.000 0.500 1
Au1 Au 0.250 0.250 0.750 1
```

***

6.
AlPPt2 | GGA-PBEsol | optimized geometry

Values from the calculation:
Crystal system: cubic
E_form, eV/atom: -0.341
Energy above the most stable polymorph in this dataset, meV per atom: 188.9
Electronic total energy, eV/cell: -100.69

CIF file:
```
data_AlPPt2
_chemical_formula_sum 'Al4 P4 Pt8'
_symmetry_space_group_name_H-M 'F m -3 m'
_symmetry_Int_Tables_number 225
_symmetry_space_group_name_Hall '-F 4 2 3'
_cell_length_a 6.127
_cell_length_b 6.127
_cell_length_c 6.127
_cell_angle_alpha 90.00
_cell_angle_beta 90.00
_cell_angle_gamma 90.00
loop_
_atom_site_label
_atom_site_type_symbol
_atom_site_fract_x
_atom_site_fract_y
_atom_site_fract_z
_atom_site_occupancy
Al1 Al 0.000 0.000 0.000 1
P1 P 0.000 0.000 0.500 1
Pt1 Pt 0.250 0.250 0.250 1
```